(1)
Below is crystalline KLaSi2 at its relaxed geometry, with properties calculated at the PBE level.

Calculated values
The value obtained for the offset from the most stable computed form is 0.413 eV/atom. As for the uncorrected formation energy: 0.55 eV/f.u. The crystal system is cubic.

abc: 7.496 7.496 7.496
angles: 90.00 90.00 90.00
Space group Fm-3m (No. 225)
Unique sites:
K1 0.000 0.000 0.000 (multiplicity 4)
La1 0.000 0.000 0.500 (multiplicity 4)
Si1 0.250 0.250 0.250 (multiplicity 8)

---

(2)
Below is crystalline KLaSi2 at its relaxed geometry, with properties calculated at the PBE level.

Calculated values
The value obtained for the offset from the most stable computed form is 0.678 eV/atom. As for the uncorrected formation energy: 1.61 eV/f.u. The crystal system is tetragonal.

abc: 5.119 5.119 20.955
angles: 90.00 90.00 90.00
Space group I-42d (No. 122)
Unique sites:
K1 0.000 0.000 0.000 (multiplicity 4)
La1 0.000 0.000 0.500 (multiplicity 4)
Si1 0.091 0.250 0.625 (multiplicity 8)

---

(3)
Below is crystalline KLaSi2 at its relaxed geometry, with properties calculated at the PBE level.

Calculated values
The value obtained for the offset from the most stable computed form is 0.366 eV/atom. As for the uncorrected formation energy: 0.36 eV/f.u. The crystal system is tetragonal.

abc: 4.727 4.727 9.053
angles: 90.00 90.00 90.00
Space group I4/mmm (No. 139)
Unique sites:
K1 0.000 0.000 0.000 (multiplicity 2)
La1 0.000 0.000 0.500 (multiplicity 2)
Si1 0.000 0.500 0.250 (multiplicity 4)

---

(4)
Below is crystalline KLaSi3 at its relaxed geometry, with properties calculated at the PBE level.

Calculated values
The value obtained for the offset from the most stable computed form is 0.378 eV/atom. As for the uncorrected formation energy: 6.01 eV/f.u. The crystal system is cubic.

abc: 5.173 5.173 5.173
angles: 90.00 90.00 90.00
Space group Pm-3m (No. 221)
Unique sites:
K1 0.000 0.000 0.000 (multiplicity 1)
La1 0.500 0.500 0.500 (multiplicity 1)
Si1 0.000 0.000 0.500 (multiplicity 3)

---

(5)
Below is crystalline KLaSi at its relaxed geometry, with properties calculated at the PBE level.

Calculated values
The value obtained for the offset from the most stable computed form is 0.000 eV/atom. As for the uncorrected formation energy: -0.02 eV/f.u. The crystal system is orthorhombic.

abc: 3.661 4.197 14.988
angles: 90.00 90.00 90.00
Space group Imm2 (No. 44)
Unique sites:
K1 0.000 0.000 0.000 (multiplicity 2)
La1 0.000 0.000 0.239 (multiplicity 2)
Si1 0.000 0.000 0.661 (multiplicity 2)

---

(6)
Below is crystalline KLaSi2 at its relaxed geometry, with properties calculated at the PBE level.

Calculated values
The value obtained for the offset from the most stable computed form is 0.057 eV/atom. As for the uncorrected formation energy: -0.87 eV/f.u. The crystal system is tetragonal.

abc: 4.114 4.114 7.366
angles: 90.00 90.00 90.00
Space group P4/mmm (No. 123)
Unique sites:
K1 0.000 0.000 0.000 (multiplicity 1)
La1 0.000 0.000 0.500 (multiplicity 1)
Si1 0.500 0.500 0.343 (multiplicity 2)

---

(7)
Below is crystalline KLaSi2 at its relaxed geometry, with properties calculated at the PBE level.

Calculated values
The value obtained for the offset from the most stable computed form is 0.102 eV/atom. As for the uncorrected formation energy: -0.69 eV/f.u. The crystal system is monoclinic.

abc: 10.847 4.055 7.988
angles: 90.00 127.31 90.00
Space group C2/m (No. 12)
Unique sites:
K1 0.000 0.000 0.000 (multiplicity 2)
La1 0.000 0.500 0.500 (multiplicity 2)
Si1 0.231 0.000 0.560 (multiplicity 4)

---

(8)
Below is crystalline KLaSi2 at its relaxed geometry, with properties calculated at the PBE level.

Calculated values
The value obtained for the offset from the most stable computed form is 0.380 eV/atom. As for the uncorrected formation energy: 0.42 eV/f.u. The crystal system is tetragonal.

abc: 5.453 5.453 3.576
angles: 90.00 90.00 90.00
Space group P4/mmm (No. 123)
Unique sites:
K1 0.000 0.000 0.000 (multiplicity 1)
La1 0.500 0.500 0.000 (multiplicity 1)
Si1 0.000 0.500 0.500 (multiplicity 2)

---

(9)
Below is crystalline KLaSi at its relaxed geometry, with properties calculated at the PBE level.

Calculated values
The value obtained for the offset from the most stable computed form is 0.014 eV/atom. As for the uncorrected formation energy: 0.02 eV/f.u. The crystal system is cubic.

abc: 7.479 7.479 7.479
angles: 90.00 90.00 90.00
Space group F-43m (No. 216)
Unique sites:
K1 0.000 0.000 0.000 (multiplicity 4)
La1 0.000 0.000 0.500 (multiplicity 4)
Si1 0.250 0.250 0.250 (multiplicity 4)

---

(10)
Below is crystalline KLaSi2 at its relaxed geometry, with properties calculated at the PBE level.

Calculated values
The value obtained for the offset from the most stable computed form is 0.300 eV/atom. As for the uncorrected formation energy: 0.10 eV/f.u. The crystal system is tetragonal.

abc: 3.372 3.372 9.328
angles: 90.00 90.00 90.00
Space group P4/mmm (No. 123)
Unique sites:
K1 0.000 0.000 0.000 (multiplicity 1)
La1 0.000 0.000 0.500 (multiplicity 1)
Si1 0.500 0.500 0.273 (multiplicity 2)

---

(11)
Below is crystalline KLaSi3 at its relaxed geometry, with properties calculated at the PBE level.

Calculated values
The value obtained for the offset from the most stable computed form is 0.000 eV/atom. As for the uncorrected formation energy: 4.12 eV/f.u. The crystal system is cubic.

abc: 5.675 5.675 5.675
angles: 90.00 90.00 90.00
Space group Pm-3m (No. 221)
Unique sites:
K1 0.000 0.000 0.000 (multiplicity 1)
La1 0.500 0.500 0.500 (multiplicity 1)
Si1 0.000 0.500 0.500 (multiplicity 3)

---

(12)
Below is crystalline KLaSi2 at its relaxed geometry, with properties calculated at the PBE level.

Calculated values
The value obtained for the offset from the most stable computed form is 0.532 eV/atom. As for the uncorrected formation energy: 1.03 eV/f.u. The crystal system is tetragonal.

abc: 4.521 4.521 10.029
angles: 90.00 90.00 90.00
Space group I-4m2 (No. 119)
Unique sites:
K1 0.000 0.000 0.000 (multiplicity 2)
La1 0.000 0.500 0.750 (multiplicity 2)
Si1 0.000 0.000 0.500 (multiplicity 2)
Si2 0.000 0.500 0.250 (multiplicity 2)